Entry 1:
Here is a geometry-optimized NaAcI structure from the Alexandria database. Energies are from PBE-GGA.

Values from the calculation:
Its symmetry is Pnma. The calculation puts the total magnetization at 0.0004 μB per atom. The volume comes out at 41.80 Å³/atom. Its crystal system is orthorhombic. The value obtained for the energy relative to the elements, uncorrected is -1.547 eV per formula unit.

```
12
Lattice="15.728 0.000 0.000 0.000 4.001 0.000 0.000 0.000 7.972" Properties=species:S:1:pos:R:3 pbc="T T T"
Na 1.387 1.000 1.000
Na 6.477 3.001 4.987
Na 9.252 1.000 2.986
Na 14.341 3.001 6.972
Ac 1.477 1.000 4.951
Ac 6.387 3.001 0.965
Ac 9.341 1.000 7.008
Ac 14.251 3.001 3.021
I 3.689 3.001 3.110
I 4.175 1.000 7.096
I 11.553 3.001 0.876
I 12.040 1.000 4.863
```

***

Entry 2:
Here is a geometry-optimized CdPRu2 structure from the Alexandria database. Energies are from PBE-GGA.

Values from the calculation:
The polymorph energy (0 for the lowest one) is 0.5290 eV per atom. Its symmetry is Cmm2. The value obtained for the calculated formation energy is 1.6 eV per formula unit. The calculation puts the total magnetization at 0.2664 μB per atom. The volume comes out at 16.40 Å³/atom. Its crystal system is orthorhombic.

```
8
Lattice="2.923 0.000 0.000 0.000 4.790 0.000 0.000 0.000 9.370" Properties=species:S:1:pos:R:3 pbc="T T T"
Cd 0.000 0.000 0.000
Cd 1.461 2.395 0.000
P 0.000 2.395 2.889
P 1.461 0.000 2.889
Ru 0.000 0.000 4.685
Ru 0.000 2.395 6.933
Ru 1.461 0.000 6.933
Ru 1.461 2.395 4.685
```

***

Entry 3:
Here is a geometry-optimized BaSrCa2Fe structure from the Alexandria database. Energies are from PBE-GGA.

Values from the calculation:
Its symmetry is P4/mmm. The value obtained for the calculated formation energy is 5.1 eV per formula unit. The calculation puts the total magnetization at 0.0000 μB per atom. The volume comes out at 39.28 Å³/atom. Its crystal system is tetragonal.

```
5
Lattice="6.360 0.000 0.000 0.000 6.360 0.000 0.000 0.000 4.856" Properties=species:S:1:pos:R:3 pbc="T T T"
Ba 0.000 0.000 0.000
Sr 3.180 3.180 2.428
Ca 0.000 3.180 0.000
Ca 3.180 0.000 0.000
Fe 0.000 0.000 2.428
```

***

Entry 4:
Here is a geometry-optimized BaLa2CuS5 structure from the Alexandria database. Energies are from PBE-GGA.

Values from the calculation:
Its symmetry is I4/mcm. The calculation puts the total magnetization at 0.0000 μB per atom. The volume comes out at 23.98 Å³/atom. Its crystal system is tetragonal. The value obtained for the energy relative to the elements, uncorrected is -15.523 eV per formula unit.

```
18
Lattice="-3.975 3.975 6.828 3.975 -3.975 6.828 3.975 3.975 -6.828" Properties=species:S:1:pos:R:3 pbc="T T T"
Ba 0.000 0.000 3.414
Ba 0.000 0.000 10.242
La 5.264 1.288 0.000
La 1.288 2.687 0.000
La 2.687 1.288 6.828
La -1.288 2.687 6.828
Cu 3.975 0.000 3.414
Cu 0.000 3.975 3.414
S 0.000 0.000 0.000
S 2.807 1.168 -1.848
S 2.807 -1.168 4.980
S 2.807 1.168 1.848
S 2.807 -1.168 8.675
S 0.000 0.000 6.828
S 1.168 5.144 -1.848
S 1.168 2.807 4.980
S 1.168 5.144 1.848
S 1.168 2.807 8.675
```

***

Entry 5:
Here is a geometry-optimized Li2LaHo2Sn2 structure from the Alexandria database. Energies are from PBE-GGA.

Values from the calculation:
Its symmetry is R-3m. The value obtained for the calculated formation energy is -3.4 eV per formula unit. The calculation puts the total magnetization at 0.0000 μB per atom. The volume comes out at 26.17 Å³/atom. Its crystal system is trigonal.

```
7
Lattice="2.419 1.397 9.037 -2.419 1.397 9.037 0.000 -2.793 9.037" Properties=species:S:1:pos:R:3 pbc="T T T"
Li 0.000 0.000 2.285
Li 0.000 0.000 24.828
La 0.000 0.000 13.556
Ho 0.000 0.000 9.999
Ho 0.000 0.000 17.114
Sn 0.000 0.000 6.570
Sn 0.000 0.000 20.543
```

***

Entry 6:
Here is a geometry-optimized Mg2As structure from the Alexandria database. Energies are from PBE-GGA.

Values from the calculation:
Its symmetry is Pa-3. The value obtained for the calculated formation energy is -0.9 eV per formula unit. The calculation puts the total magnetization at 0.0000 μB per atom. The volume comes out at 23.63 Å³/atom. Its crystal system is cubic.

```
12
Lattice="6.570 0.000 0.000 0.000 6.570 0.000 0.000 0.000 6.570" Properties=species:S:1:pos:R:3 pbc="T T T"
Mg 0.922 0.922 0.922
Mg 0.922 2.363 4.207
Mg 2.363 4.207 0.922
Mg 2.363 5.648 4.207
Mg 4.207 0.922 2.363
Mg 4.207 2.363 5.648
Mg 5.648 4.207 2.363
Mg 5.648 5.648 5.648
As 0.000 0.000 3.285
As 0.000 3.285 0.000
As 3.285 0.000 0.000
As 3.285 3.285 3.285
```